Entry from Alexandria: a geometry-optimized ScInNi5 structure (PBE).

a = 7.913 Å, b = 4.748 Å, c = 10.255 Å
α = 90.00°, β = 90.00°, γ = 90.00°
Space group Pnma (No. 62)
Inequivalent atoms, fractional coordinates:
Sc 0.244 0.250 0.062 (multiplicity 4)
In 0.135 0.250 0.364 (multiplicity 4)
Ni 0.045 0.250 0.602 (multiplicity 4)
Ni 0.066 0.502 0.811 (multiplicity 8)
Ni 0.084 0.750 0.017 (multiplicity 4)
Ni 0.191 0.750 0.238 (multiplicity 4)

Its formation enthalpy at 0 K is -0.29 eV/atom. The total magnetization comes out at 0.00 μB per atom. As for the density of states at the Fermi level: 1.099 states/eV/atom.



Entry from Alexandria: a geometry-optimized Re2SiPt structure (PBE).

a = 5.402 Å, b = 4.119 Å, c = 5.478 Å
α = 90.00°, β = 107.32°, γ = 90.00°
Space group Pm (No. 6)
Inequivalent atoms, fractional coordinates:
Re 0.000 0.000 0.000 (multiplicity 1)
Re 0.041 0.000 0.544 (multiplicity 1)
Re 0.299 0.500 0.890 (multiplicity 1)
Re 0.785 0.500 0.702 (multiplicity 1)
Si 0.275 0.500 0.406 (multiplicity 1)
Si 0.529 0.000 0.839 (multiplicity 1)
Pt 0.493 0.000 0.339 (multiplicity 1)
Pt 0.800 0.500 0.216 (multiplicity 1)

The total magnetization comes out at 0.00 μB per atom. The uncorrected formation energy comes out at -0.13 eV/atom. As for the density of states at the Fermi level: 0.546 states/eV/atom.



Entry from Alexandria: a geometry-optimized Mg2CuI structure (PBE).

a = 7.248 Å, b = 7.248 Å, c = 7.248 Å
α = 90.00°, β = 90.00°, γ = 90.00°
Space group Fm-3m (No. 225)
Inequivalent atoms, fractional coordinates:
Mg 0.250 0.250 0.250 (multiplicity 8)
Cu 0.000 0.000 0.000 (multiplicity 4)
I 0.000 0.000 0.500 (multiplicity 4)

The total magnetization comes out at 0.00 μB per atom. The uncorrected formation energy comes out at 0.29 eV/atom. The excess energy over the best structure of this formula in the dataset comes out at 23.5 kJ per mole of atoms. As for the density of states at the Fermi level: 0.430 states/eV/atom.



Entry from Alexandria: a geometry-optimized YPOs2 structure (PBE).

a = 4.401 Å, b = 3.557 Å, c = 5.332 Å
α = 90.00°, β = 90.10°, γ = 90.00°
Space group P2/m (No. 10)
Inequivalent atoms, fractional coordinates:
Y 0.000 0.000 0.000 (multiplicity 1)
P 0.500 0.000 0.500 (multiplicity 1)
Os 0.500 0.500 0.234 (multiplicity 2)

Its formation enthalpy at 0 K is -0.16 eV/atom. The total magnetization comes out at 0.00 μB per atom. As for the density of states at the Fermi level: 0.430 states/eV/atom.



Entry from Alexandria: a geometry-optimized SmErSb structure (PBE).

a = 4.002 Å, b = 4.002 Å, c = 10.648 Å
α = 90.00°, β = 90.00°, γ = 90.00°
Space group I4mm (No. 107)
Inequivalent atoms, fractional coordinates:
Sm 0.000 0.000 0.000 (multiplicity 2)
Er 0.000 0.000 0.693 (multiplicity 2)
Sb 0.000 0.000 0.337 (multiplicity 2)

The total magnetization comes out at 0.30 μB per atom. The uncorrected formation energy comes out at -0.63 eV/atom. As for the density of states at the Fermi level: 0.848 states/eV/atom.



Entry from Alexandria: a geometry-optimized Dy3Y5Tm4 structure (PBE).

a = 6.120 Å, b = 7.080 Å, c = 8.655 Å
α = 89.99°, β = 89.97°, γ = 89.92°
Space group P-1 (No. 2)
Inequivalent atoms, fractional coordinates:
Dy 0.000 0.000 0.000 (multiplicity 1)
Dy 0.166 0.252 0.334 (multiplicity 2)
Y 0.000 0.500 0.000 (multiplicity 1)
Y 0.331 0.000 0.665 (multiplicity 2)
Y 0.499 0.749 0.000 (multiplicity 2)
Tm 0.166 0.749 0.334 (multiplicity 2)
Tm 0.334 0.500 0.664 (multiplicity 2)

Its formation enthalpy at 0 K is 0.03 eV/atom. The total magnetization comes out at 0.00 μB per atom. The excess energy over the best structure of this formula in the dataset comes out at 0.0 kJ per mole of atoms. As for the density of states at the Fermi level: 1.402 states/eV/atom.



Entry from Alexandria: a geometry-optimized BaGe2AuSe structure (PBE).

a = 5.012 Å, b = 5.012 Å, c = 5.735 Å
α = 90.00°, β = 90.00°, γ = 90.00°
Space group P4/mmm (No. 123)
Inequivalent atoms, fractional coordinates:
Ba 0.000 0.000 0.000 (multiplicity 1)
Ge 0.000 0.500 0.500 (multiplicity 2)
Au 0.500 0.500 0.500 (multiplicity 1)
Se 0.500 0.500 0.000 (multiplicity 1)

The total magnetization comes out at 0.00 μB per atom. The uncorrected formation energy comes out at -0.18 eV/atom. As for the density of states at the Fermi level: 0.859 states/eV/atom.



Entry from Alexandria: a geometry-optimized Li2CaSmTl4 structure (PBE).

a = 5.2441 Å, b = 5.2441 Å, c = 25.7251 Å
α = 90.00°, β = 90.00°, γ = 120.00°
Space group R-3m (No. 166, hexagonal axes)
Inequivalent atoms, fractional coordinates:
Li 0.0000 0.0000 0.2503 (multiplicity 6)
Ca 0.0000 0.0000 0.0000 (multiplicity 3)
Sm 0.0000 0.0000 0.5000 (multiplicity 3)
Tl 0.0000 0.0000 0.1247 (multiplicity 6)
Tl 0.0000 0.0000 0.3743 (multiplicity 6)

Its formation enthalpy at 0 K is -0.33 eV/atom. The total magnetization comes out at 0.00 μB per atom. As for the density of states at the Fermi level: 0.472 states/eV/atom.



Entry from Alexandria: a geometry-optimized Li2UTcO6 structure (PBE).

a = 5.334 Å, b = 5.580 Å, c = 9.444 Å
α = 90.00°, β = 124.38°, γ = 90.00°
Space group P2_1/c (No. 14)
Inequivalent atoms, fractional coordinates:
Li 0.249 0.004 0.246 (multiplicity 4)
U 0.000 0.000 0.500 (multiplicity 2)
Tc 0.500 0.000 0.000 (multiplicity 2)
O 0.125 0.182 0.940 (multiplicity 4)
O 0.262 0.692 0.937 (multiplicity 4)
O 0.378 0.043 0.756 (multiplicity 4)

The total magnetization comes out at 0.31 μB per atom. The uncorrected formation energy comes out at -2.26 eV/atom. As for the density of states at the Fermi level: 0.088 states/eV/atom.



Entry from Alexandria: a geometry-optimized BaTh2ReN5 structure (PBE).

a = 7.015 Å, b = 7.015 Å, c = 11.760 Å
α = 90.00°, β = 90.00°, γ = 90.00°
Space group I4/mcm (No. 140)
Inequivalent atoms, fractional coordinates:
Ba 0.000 0.000 0.250 (multiplicity 4)
Th 0.184 0.316 0.000 (multiplicity 8)
Re 0.000 0.500 0.250 (multiplicity 4)
N 0.000 0.000 0.000 (multiplicity 4)
N 0.138 0.362 0.361 (multiplicity 16)

The total magnetization comes out at 0.00 μB per atom. The uncorrected formation energy comes out at -1.06 eV/atom. As for the density of states at the Fermi level: 0.388 states/eV/atom.



Entry from Alexandria: a geometry-optimized Dy3SnIr structure (PBE).

a = 5.973 Å, b = 10.809 Å, c = 8.044 Å
α = 90.00°, β = 90.00°, γ = 90.00°
Space group Pnma (No. 62)
Inequivalent atoms, fractional coordinates:
Dy 0.013 0.103 0.141 (multiplicity 8)
Dy 0.231 0.250 0.750 (multiplicity 4)
Sn 0.000 0.000 0.500 (multiplicity 4)
Ir 0.083 0.750 0.580 (multiplicity 4)

Its formation enthalpy at 0 K is -0.45 eV/atom. The total magnetization comes out at 0.00 μB per atom. As for the density of states at the Fermi level: 0.878 states/eV/atom.



Entry from Alexandria: a geometry-optimized SmAuSe2 structure (PBE).

a = 6.362 Å, b = 7.374 Å, c = 8.187 Å
α = 90.00°, β = 90.00°, γ = 90.00°
Space group Pbcm (No. 57)
Inequivalent atoms, fractional coordinates:
Sm 0.172 0.036 0.250 (multiplicity 4)
Au 0.496 0.750 0.000 (multiplicity 4)
Se 0.071 0.750 0.000 (multiplicity 4)
Se 0.371 0.084 0.750 (multiplicity 4)

The total magnetization comes out at 0.00 μB per atom. The uncorrected formation energy comes out at -1.17 eV/atom.